! Ac2SbAs4, relaxed, DFT GGA-PBE; values from VASP
! Total DFT energy (no corrections): -0.1882 hartree per atom
! Energy relative to the elements, uncorrected: -0.7009 eV/atom
! V: 29.13 Å³/atom
&SYSTEM
  ibrav = 0, nat = 7, ntyp = 3
/
ATOMIC_SPECIES
Ac 227.00 Ac.upf
Sb 121.76 Sb.upf
As 74.92 As.upf
CELL_PARAMETERS angstrom
-3.3888 2.2997 -0.8800
-1.1254 -2.7781 -2.9261
-6.0759 -5.9115 7.9492
ATOMIC_POSITIONS angstrom
Ac -6.0300 -3.0686 5.2324
Ac -2.3029 -3.0822 0.8137
Sb -2.2571 -0.2392 -1.9031
As -2.7460 0.1266 0.9359
As -5.5869 -6.2774 5.1102
As -5.2950 -3.1950 2.0715
As -3.0379 -2.9558 3.9746

=====

! AcSbAs, relaxed, DFT GGA-PBE; values from VASP
! Total DFT energy (no corrections): -0.1702 hartree per atom
! Distance to the lowest polymorph of the same formula: 0.580 eV per atom
! Energy relative to the elements, uncorrected: -0.3367 eV/atom
! V: 35.86 Å³/atom
&SYSTEM
  ibrav = 0, nat = 3, ntyp = 3
/
ATOMIC_SPECIES
Sb 121.76 Sb.upf
Ac 227.00 Ac.upf
As 74.92 As.upf
CELL_PARAMETERS angstrom
5.3385 0.0000 0.0000
2.6693 4.6233 0.0000
2.6693 1.5411 4.3589
ATOMIC_POSITIONS angstrom
Sb 0.0000 0.0000 0.0000
Ac 2.6693 1.5411 1.0897
As 5.3385 3.0822 2.1794

=====

! Ac2SbAs, relaxed, DFT GGA-PBE; values from VASP
! Total DFT energy (no corrections): -0.1933 hartree per atom
! Distance to the lowest polymorph of the same formula: 0.325 eV per atom
! Energy relative to the elements, uncorrected: -1.0137 eV/atom
! V: 31.88 Å³/atom
&SYSTEM
  ibrav = 0, nat = 4, ntyp = 3
/
ATOMIC_SPECIES
Sb 121.76 Sb.upf
Ac 227.00 Ac.upf
As 74.92 As.upf
CELL_PARAMETERS angstrom
5.6500 0.0000 0.0000
2.8250 4.8930 0.0000
2.8250 1.6310 4.6132
ATOMIC_POSITIONS angstrom
Sb 0.0000 0.0000 0.0000
Ac 2.8250 1.6310 1.1533
Ac 8.4750 4.8930 3.4599
As 5.6500 3.2620 2.3066

=====

! Ac5Sb4As, relaxed, DFT GGA-PBE; values from VASP
! Total DFT energy (no corrections): -0.1993 hartree per atom
! Energy relative to the elements, uncorrected: -1.2542 eV/atom
! V: 38.02 Å³/atom
&SYSTEM
  ibrav = 0, nat = 10, ntyp = 3
/
ATOMIC_SPECIES
Ac 227.00 Ac.upf
Sb 121.76 Sb.upf
As 74.92 As.upf
CELL_PARAMETERS angstrom
-2.9103 -1.4238 -3.4849
-3.1716 -1.4468 3.2391
-4.1214 16.6209 -0.1056
ATOMIC_POSITIONS angstrom
Ac -1.3717 2.9189 -0.0394
Ac -3.0410 -1.4353 -0.1229
Ac -8.8316 10.8315 -0.3121
Ac -4.2996 9.1128 -0.1385
Ac -5.9037 4.6376 -0.2130
Sb -5.7439 12.1672 -0.1879
Sb -7.3595 7.7177 -0.2620
Sb -2.8439 6.0327 -0.0895
Sb -4.4595 1.5832 -0.1636
As 0.0000 0.0000 0.0000

=====

no.,ρ (g cm⁻³)
1,7.1
2,6.5
3,8.5
4,7.4